No. 1
Density functional theory data (PBE) for crystalline PmInCuRh at its relaxed geometry.

Cell and atoms, written as extended XYZ:
```
4
Lattice="-4.350 -1.495 1.379 -1.492 -4.421 -1.138 -0.416 -3.348 3.418" Properties=species:S:1:pos:R:3 pbc="T T T"
In -4.694 -6.948 2.744
Rh -3.130 -4.632 1.830
Cu 0.000 0.000 0.000
Pm -1.565 -2.316 0.915
```

**E_tot**: -5.1244 eV per atom
**Symmetry**: F-43m (216)
**Calculated formation energy**: -390 meV per atom

=====

No. 2
Density functional theory data (PBE) for crystalline Li2CoPt at its relaxed geometry.

Cell and atoms, written as extended XYZ:
```
4
Lattice="4.822 0.065 0.478 4.060 2.603 0.478 1.470 0.442 4.380" Properties=species:S:1:pos:R:3 pbc="T T T"
Co 2.698 0.810 1.791
Li 10.171 3.055 4.959
Li 7.930 2.382 4.369
Pt 5.082 1.527 2.222
```

**ΔE to the lowest computed polymorph**: 51 meV per atom
**E_tot**: -4.4386 eV per atom
**Symmetry**: Cm (8)
**Calculated formation energy**: -195 meV per atom

=====

No. 3
Density functional theory data (PBE) for crystalline LiCe2HoHg4 at its relaxed geometry.

Cell and atoms, written as extended XYZ:
```
8
Lattice="5.252 0.000 0.000 2.626 4.549 0.000 2.626 1.516 8.637" Properties=species:S:1:pos:R:3 pbc="T T T"
Li 5.252 3.032 4.318
Ce 7.879 4.549 6.412
Ce 2.626 1.516 2.225
Ho 0.000 0.000 0.000
Hg 5.252 3.032 7.546
Hg 7.879 4.549 3.256
Hg 2.626 1.516 5.381
Hg 5.252 3.032 1.091
```

**E_tot**: -2.7993 eV per atom
**Symmetry**: R-3m (166)
**Calculated formation energy**: -353 meV per atom